## Sc2VMo2 (GGA-PBE)

Data for Sc2VMo2 after structural relaxation.

Results
* E_tot: -8.48 eV per atom
* M_tot: 0.0 μB/cell
* Fermi-level density of states: 12.4 states/eV per cell
* SG: No. 127

Unit cell a=6.319 b=6.319 c=4.736 alpha=90.00 beta=90.00 gamma=90.00
Element x y z (fractional)
Sc  0.171  0.329  0.000
Sc  0.329  0.829  0.000
Sc  0.671  0.171  0.000
Sc  0.829  0.671  0.000
V  0.000  0.000  0.500
V  0.500  0.500  0.500
Mo  0.142  0.642  0.500
Mo  0.358  0.142  0.500
Mo  0.642  0.858  0.500
Mo  0.858  0.358  0.500